# TbPuOs | Alexandria via LeMat-Bulk | PBE | optimized geometry
data_TbPuOs
_cell_length_a 7.207
_cell_length_b 7.207
_cell_length_c 4.610
_cell_angle_alpha 90.00
_cell_angle_beta 90.00
_cell_angle_gamma 120.00
_space_group_name_H-M_alt 'P 1'
_space_group_IT_number 1
loop_
_space_group_symop_operation_xyz
'x,y,z'
loop_
_atom_site_label
_atom_site_type_symbol
_atom_site_fract_x
_atom_site_fract_y
_atom_site_fract_z
Tb1 Tb 0.000 0.580 0.000
Tb2 Tb 0.420 0.420 0.000
Tb3 Tb 0.580 0.000 0.000
Pu1 Pu 0.000 0.252 0.500
Pu2 Pu 0.252 0.000 0.500
Pu3 Pu 0.748 0.748 0.500
Os1 Os 0.000 0.000 0.000
Os2 Os 0.333 0.667 0.500
Os3 Os 0.667 0.333 0.500
# ΔE to the lowest computed polymorph (meV per atom): 0.0
# Symmetry: P-62m
# ΔH_f (0 K) (eV/atom): -0.15
# DFT total energy (eV per cell): -91.938